1.
! CdWBr2 PBE relaxed; values from VASP
! energy relative to the elements, uncorrected = 1.201 eV per atom
! energy above the lowest structure with this stoichiometry = 988 meV/atom
! E = -3.10 eV per atom
! size of the total moment = 3.99 Bohr magnetons per cell
&SYSTEM
  ibrav = 0, nat = 4, ntyp = 3
/
ATOMIC_SPECIES
W 183.84 W.upf
Br 79.90 Br.upf
Cd 112.41 Cd.upf
CELL_PARAMETERS angstrom
5.139 0.000 0.000
2.570 4.451 0.000
2.570 1.484 4.196
ATOMIC_POSITIONS crystal
W 0.750 0.750 0.750
Br 0.250 0.250 0.250
Br 0.000 0.000 0.000
Cd 0.500 0.500 0.500

2.
! CdWBr2 PBE relaxed; values from VASP
! energy relative to the elements, uncorrected = 0.517 eV per atom
! energy above the lowest structure with this stoichiometry = 303 meV/atom
! E = -3.79 eV per atom
! size of the total moment = 1.22 Bohr magnetons per cell
&SYSTEM
  ibrav = 0, nat = 8, ntyp = 3
/
ATOMIC_SPECIES
Cd 112.41 Cd.upf
W 183.84 W.upf
Br 79.90 Br.upf
CELL_PARAMETERS angstrom
-5.106 0.329 -7.254
6.345 -4.110 -4.652
-0.517 -4.420 -5.268
ATOMIC_POSITIONS crystal
Cd 0.500 0.500 0.000
W 0.000 0.000 0.000
Br 0.987 0.625 0.250
W 0.750 0.250 0.500
Br 0.375 0.237 0.750
Br 0.875 0.013 0.750
Cd 0.250 0.750 0.500
Br 0.763 0.125 0.250

3.
! CdWBr2 PBE relaxed; values from VASP
! energy relative to the elements, uncorrected = 0.540 eV per atom
! energy above the lowest structure with this stoichiometry = 326 meV/atom
! E = -3.76 eV per atom
! size of the total moment = 0.83 Bohr magnetons per cell
&SYSTEM
  ibrav = 0, nat = 4, ntyp = 3
/
ATOMIC_SPECIES
W 183.84 W.upf
Br 79.90 Br.upf
Cd 112.41 Cd.upf
CELL_PARAMETERS angstrom
7.306 0.020 -0.003
5.033 5.296 0.003
-5.703 -3.741 2.619
ATOMIC_POSITIONS crystal
W 0.762 0.262 0.500
Br 0.916 0.916 0.000
Cd 0.580 0.580 0.000
Br 0.241 0.741 0.500

4.
! CdWBr2 PBE relaxed; values from VASP
! energy relative to the elements, uncorrected = 1.077 eV per atom
! energy above the lowest structure with this stoichiometry = 863 meV/atom
! E = -3.23 eV per atom
! size of the total moment = 0.00 Bohr magnetons per cell
&SYSTEM
  ibrav = 0, nat = 4, ntyp = 3
/
ATOMIC_SPECIES
Cd 112.41 Cd.upf
W 183.84 W.upf
Br 79.90 Br.upf
CELL_PARAMETERS angstrom
0.000 3.432 3.432
3.432 0.000 3.432
3.432 3.432 0.000
ATOMIC_POSITIONS crystal
Cd 0.000 0.000 0.000
W 0.500 0.500 0.500
Br 0.250 0.250 0.250
Br 0.750 0.750 0.750

5.
! CdWBr2 PBE relaxed; values from VASP
! energy relative to the elements, uncorrected = 0.621 eV per atom
! energy above the lowest structure with this stoichiometry = 408 meV/atom
! E = -3.68 eV per atom
! size of the total moment = 0.00 Bohr magnetons per cell
&SYSTEM
  ibrav = 0, nat = 4, ntyp = 3
/
ATOMIC_SPECIES
Cd 112.41 Cd.upf
Br 79.90 Br.upf
W 183.84 W.upf
CELL_PARAMETERS angstrom
-1.744 2.039 3.557
-2.439 -2.021 -0.037
2.123 -4.659 3.712
ATOMIC_POSITIONS crystal
Cd 0.500 0.250 0.250
Br 0.000 0.734 0.520
W 0.500 0.750 0.750
Br 0.000 0.766 0.980

6.
! CdWBr2 PBE relaxed; values from VASP
! energy relative to the elements, uncorrected = 0.910 eV per atom
! energy above the lowest structure with this stoichiometry = 697 meV/atom
! E = -3.39 eV per atom
! size of the total moment = 1.73 Bohr magnetons per cell
&SYSTEM
  ibrav = 0, nat = 4, ntyp = 3
/
ATOMIC_SPECIES
W 183.84 W.upf
Cd 112.41 Cd.upf
Br 79.90 Br.upf
CELL_PARAMETERS angstrom
5.909 0.000 -0.001
-3.142 5.002 0.000
-0.375 1.005 3.007
ATOMIC_POSITIONS crystal
W 0.500 0.500 0.000
Cd 0.000 0.500 0.500
Br 0.500 0.000 0.500
Br 0.000 0.000 0.000

7.
! CdWBr2 PBE relaxed; values from VASP
! energy relative to the elements, uncorrected = 0.889 eV per atom
! energy above the lowest structure with this stoichiometry = 676 meV/atom
! E = -3.41 eV per atom
! size of the total moment = 2.38 Bohr magnetons per cell
&SYSTEM
  ibrav = 0, nat = 4, ntyp = 3
/
ATOMIC_SPECIES
Cd 112.41 Cd.upf
W 183.84 W.upf
Br 79.90 Br.upf
CELL_PARAMETERS angstrom
3.220 0.000 0.000
0.000 6.036 0.000
0.000 0.000 4.677
ATOMIC_POSITIONS crystal
Cd 0.500 0.000 0.500
W 0.000 0.500 0.500
Br 0.000 0.000 0.000
Br 0.500 0.500 0.000

8.
! CdWBr2 PBE relaxed; values from VASP
! energy relative to the elements, uncorrected = 1.051 eV per atom
! energy above the lowest structure with this stoichiometry = 838 meV/atom
! E = -3.25 eV per atom
! size of the total moment = 1.20 Bohr magnetons per cell
&SYSTEM
  ibrav = 0, nat = 4, ntyp = 3
/
ATOMIC_SPECIES
Br 79.90 Br.upf
Cd 112.41 Cd.upf
W 183.84 W.upf
CELL_PARAMETERS angstrom
5.231 0.007 0.000
-1.426 5.033 0.000
0.000 0.000 3.215
ATOMIC_POSITIONS crystal
Br 0.500 0.500 0.000
Cd 0.500 0.000 0.500
Br 0.000 0.000 0.000
W 0.000 0.500 0.500

9.
! Cd3WBr PBE relaxed; values from VASP
! energy relative to the elements, uncorrected = 1.642 eV per atom
! energy above the lowest structure with this stoichiometry = 663 meV/atom
! E = -1.83 eV per atom
! size of the total moment = 4.73 Bohr magnetons per cell
&SYSTEM
  ibrav = 0, nat = 5, ntyp = 3
/
ATOMIC_SPECIES
W 183.84 W.upf
Br 79.90 Br.upf
Cd 112.41 Cd.upf
CELL_PARAMETERS angstrom
-1.491 -5.200 0.775
4.120 -1.656 -3.187
3.267 -0.285 4.372
ATOMIC_POSITIONS crystal
W 0.500 0.500 0.500
Br 0.000 0.000 0.000
Cd 0.500 0.000 0.000
Cd 0.000 0.000 0.500
Cd 0.000 0.500 0.000

10.
! CdWBr2 PBE relaxed; values from VASP
! energy relative to the elements, uncorrected = 0.397 eV per atom
! energy above the lowest structure with this stoichiometry = 184 meV/atom
! E = -3.91 eV per atom
! size of the total moment = 1.10 Bohr magnetons per cell
&SYSTEM
  ibrav = 0, nat = 4, ntyp = 3
/
ATOMIC_SPECIES
W 183.84 W.upf
Br 79.90 Br.upf
Cd 112.41 Cd.upf
CELL_PARAMETERS angstrom
-0.048 3.196 -1.086
-2.637 -2.107 -0.034
-2.815 3.361 10.016
ATOMIC_POSITIONS crystal
W 0.500 0.500 0.750
Br 0.000 0.000 0.939
Br 0.000 0.000 0.561
Cd 0.500 0.500 0.250

11.
! CdW4Br PBE relaxed; values from VASP
! energy relative to the elements, uncorrected = 1.127 eV per atom
! E = -7.94 eV per atom
! size of the total moment = 0.00 Bohr magnetons per cell
&SYSTEM
  ibrav = 0, nat = 6, ntyp = 3
/
ATOMIC_SPECIES
W 183.84 W.upf
Cd 112.41 Cd.upf
Br 79.90 Br.upf
CELL_PARAMETERS angstrom
0.000 3.834 3.834
3.834 0.000 3.834
3.834 3.834 0.000
ATOMIC_POSITIONS crystal
W 0.375 0.375 0.375
W 0.875 0.375 0.375
Cd 0.000 0.000 0.000
Br 0.750 0.750 0.750
W 0.375 0.875 0.375
W 0.375 0.375 0.875

12.
! CdWBr3 PBE relaxed; values from VASP
! energy relative to the elements, uncorrected = 0.250 eV per atom
! energy above the lowest structure with this stoichiometry = 0 meV/atom
! E = -3.53 eV per atom
! size of the total moment = 2.89 Bohr magnetons per cell
&SYSTEM
  ibrav = 0, nat = 5, ntyp = 3
/
ATOMIC_SPECIES
W 183.84 W.upf
Br 79.90 Br.upf
Cd 112.41 Cd.upf
CELL_PARAMETERS angstrom
-3.886 -1.204 3.368
2.030 -4.837 0.613
2.945 1.745 4.022
ATOMIC_POSITIONS crystal
W 0.000 0.000 0.000
Br 0.000 0.000 0.500
Br 0.500 0.000 0.000
Br 0.000 0.500 0.000
Cd 0.500 0.500 0.500